1.
{
  "formula": "BeZnAg",
  "functional": "PBE-GGA",
  "state": "relaxed",
  "volume_a3_per_cell": 83.13,
  "e_tot_ev_per_atom": -2.504,
  "delta_e_f_mev_per_atom": 113,
  "lattice_angstrom": [[4.380, -2.003, 0.000], [4.380, 2.003, 0.000], [-0.116, 0.000, 4.738]],
  "species": ["Be", "Be", "Zn", "Zn", "Ag", "Ag"],
  "fractional_positions": [[0.000, 0.000, 0.000], [0.528, 0.528, 0.253], [0.388, 0.388, 0.805], [0.938, 0.938, 0.481], [0.230, 0.230, 0.301], [0.687, 0.687, 0.817]]
}

2.
{
  "formula": "LiCoTc2",
  "functional": "PBE-GGA",
  "state": "relaxed",
  "volume_a3_per_cell": 55.47,
  "e_tot_ev_per_atom": -7.175,
  "delta_e_f_mev_per_atom": 263,
  "lattice_angstrom": [[1.430, -2.186, 0.000], [1.430, 2.186, 0.000], [0.000, 0.000, 8.875]],
  "species": ["Li", "Co", "Tc", "Tc"],
  "fractional_positions": [[0.000, 0.000, 0.000], [0.500, 0.500, 0.245], [0.000, 0.000, 0.481], [0.500, 0.500, 0.733]]
}

3.
{
  "formula": "La3Zn4",
  "functional": "PBE-GGA",
  "state": "relaxed",
  "volume_a3_per_cell": 197.85,
  "e_tot_ev_per_atom": -2.739,
  "delta_e_f_mev_per_atom": 101,
  "lattice_angstrom": [[6.797, 0.000, 0.000], [-3.398, 5.886, 0.000], [0.000, 0.000, 4.945]],
  "species": ["La", "La", "La", "Zn", "Zn", "Zn", "Zn"],
  "fractional_positions": [[0.000, 0.500, 0.000], [0.500, 0.000, 0.000], [0.500, 0.500, 0.000], [0.000, 0.000, 0.251], [0.000, 0.000, 0.749], [0.333, 0.667, 0.500], [0.667, 0.333, 0.500]]
}

4.
{
  "formula": "RbP2Pb",
  "functional": "PBE-GGA",
  "state": "relaxed",
  "volume_a3_per_cell": 259.15,
  "e_tot_ev_per_atom": -3.642,
  "delta_e_f_mev_per_atom": 232,
  "lattice_angstrom": [[-3.987, 3.987, 4.075], [3.987, -3.987, 4.075], [3.987, 3.987, -4.075]],
  "species": ["Rb", "Rb", "P", "P", "P", "P", "Pb", "Pb"],
  "fractional_positions": [[0.000, 0.000, 0.000], [0.750, 0.250, 0.500], [0.201, 0.625, 0.076], [0.375, 0.451, 0.576], [0.549, 0.125, 0.924], [0.875, 0.799, 0.424], [0.250, 0.750, 0.500], [0.500, 0.500, 0.000]]
}

5.
{
  "formula": "SbTe3PbAu",
  "functional": "PBE-GGA",
  "state": "relaxed",
  "raw_formation_energy_ev_per_atom": -0.151,
  "volume_a3_per_cell": 379.40,
  "e_tot_ev_per_atom": -3.573,
  "lattice_angstrom": [[8.744, 0.000, 0.000], [0.000, 4.383, 0.000], [-1.856, 0.000, 9.899]],
  "species": ["Sb", "Sb", "Te", "Te", "Te", "Te", "Te", "Te", "Pb", "Pb", "Au", "Au"],
  "fractional_positions": [[0.167, 0.250, 0.137], [0.833, 0.750, 0.863], [0.083, 0.250, 0.841], [0.229, 0.250, 0.468], [0.408, 0.750, 0.129], [0.592, 0.250, 0.871], [0.771, 0.750, 0.532], [0.917, 0.750, 0.159], [0.321, 0.750, 0.705], [0.679, 0.250, 0.295], [0.435, 0.750, 0.409], [0.565, 0.250, 0.591]]
}

6.
{
  "formula": "Ti2NbB2",
  "functional": "PBE-GGA",
  "state": "relaxed",
  "volume_a3_per_cell": 121.54,
  "e_tot_ev_per_atom": -8.404,
  "delta_e_f_mev_per_atom": -561,
  "lattice_angstrom": [[6.149, 0.000, 0.000], [0.000, 6.149, 0.000], [0.000, 0.000, 3.215]],
  "species": ["Ti", "Ti", "Ti", "Ti", "Nb", "Nb", "B", "B", "B", "B"],
  "fractional_positions": [[0.180, 0.320, 0.000], [0.320, 0.820, 0.000], [0.680, 0.180, 0.000], [0.820, 0.680, 0.000], [0.000, 0.000, 0.500], [0.500, 0.500, 0.500], [0.103, 0.603, 0.500], [0.397, 0.103, 0.500], [0.603, 0.897, 0.500], [0.897, 0.397, 0.500]]
}